# 1
The following is a GGA-PBE calculation of crystalline Sm2AgP at its relaxed geometry, from Alexandria.

Properties
Crystal system: tetragonal
ΔE_f in eV per atom: -0.7178
VASP energy in eV/atom: -5.14
Density of states at the Fermi level in states/eV per atom: 0.715

The structure in CIF format:
```
data_Sm2AgP
_chemical_formula_sum 'Sm2 Ag1 P1'
_cell_length_a 3.655
_cell_length_b 3.655
_cell_length_c 7.042
_cell_angle_alpha 90.00
_cell_angle_beta 90.00
_cell_angle_gamma 90.00
_symmetry_space_group_name_H-M 'P 1'
_symmetry_Int_Tables_number 1
_symmetry_space_group_name_Hall 'P 1'
loop_
_atom_site_label
_atom_site_type_symbol
_atom_site_fract_x
_atom_site_fract_y
_atom_site_fract_z
Sm1 Sm 0.000 0.000 0.772
Sm2 Sm 0.000 0.000 0.228
P1 P 0.500 0.500 0.000
Ag1 Ag 0.500 0.500 0.500
```

---

# 2
The following is a GGA-PBE calculation of crystalline Mo2AsRh at its relaxed geometry, from Alexandria.

Properties
Crystal system: cubic
ΔE_f in eV per atom: 0.1852
VASP energy in eV/atom: -8.23
Density of states at the Fermi level in states/eV per atom: 0.994

The structure in CIF format:
```
data_Mo2AsRh
_chemical_formula_sum 'Mo2 As1 Rh1'
_cell_length_a 4.439
_cell_length_b 4.439
_cell_length_c 4.439
_cell_angle_alpha 60.00
_cell_angle_beta 60.00
_cell_angle_gamma 60.00
_symmetry_space_group_name_H-M 'P 1'
_symmetry_Int_Tables_number 1
_symmetry_space_group_name_Hall 'P 1'
loop_
_atom_site_label
_atom_site_type_symbol
_atom_site_fract_x
_atom_site_fract_y
_atom_site_fract_z
Mo1 Mo 0.750 0.750 0.750
Mo2 Mo 0.000 0.000 0.000
Rh1 Rh 0.250 0.250 0.250
As1 As 0.500 0.500 0.500
```

---

# 3
The following is a GGA-PBE calculation of crystalline TmMg2In2 at its relaxed geometry, from Alexandria.

Properties
Crystal system: monoclinic
ΔE_f in eV per atom: -0.1595
VASP energy in eV/atom: -2.79
Density of states at the Fermi level in states/eV per atom: 0.428

The structure in CIF format:
```
data_TmMg2In2
_chemical_formula_sum 'Tm1 Mg2 In2'
_cell_length_a 4.416
_cell_length_b 4.417
_cell_length_c 7.130
_cell_angle_alpha 108.20
_cell_angle_beta 108.04
_cell_angle_gamma 90.00
_symmetry_space_group_name_H-M 'P 1'
_symmetry_Int_Tables_number 1
_symmetry_space_group_name_Hall 'P 1'
loop_
_atom_site_label
_atom_site_type_symbol
_atom_site_fract_x
_atom_site_fract_y
_atom_site_fract_z
Tm1 Tm 0.000 0.000 0.000
In1 In 0.394 0.394 0.787
In2 In 0.606 0.606 0.213
Mg1 Mg 0.250 0.750 0.500
Mg2 Mg 0.750 0.250 0.500
```

---

# 4
The following is a GGA-PBE calculation of crystalline Pu2SeCl2 at its relaxed geometry, from Alexandria.

Properties
Crystal system: monoclinic
VASP energy in eV/atom: -8.83
Energy relative to the elements, uncorrected in kJ/mol of formula units: -803.9
Density of states at the Fermi level in states/eV per atom: 4.002

The structure in CIF format:
```
data_Pu2SeCl2
_chemical_formula_sum 'Pu2 Se1 Cl2'
_cell_length_a 4.127
_cell_length_b 4.128
_cell_length_c 9.862
_cell_angle_alpha 90.32
_cell_angle_beta 90.00
_cell_angle_gamma 119.99
_symmetry_space_group_name_H-M 'P 1'
_symmetry_Int_Tables_number 1
_symmetry_space_group_name_Hall 'P 1'
loop_
_atom_site_label
_atom_site_type_symbol
_atom_site_fract_x
_atom_site_fract_y
_atom_site_fract_z
Pu1 Pu 0.168 0.337 0.674
Pu2 Pu 0.832 0.663 0.326
Cl1 Cl 0.836 0.673 0.830
Cl2 Cl 0.164 0.327 0.170
Se1 Se 0.500 0.000 0.500
```

---

Q: density of states at the Fermi level of number 2 (Mo2AsRh)?
A: 0.994 states/eV per atom